Below is a relaxed BaDyAg2 crystal, with properties calculated at the PBE level.

Output
* polymorph energy (0 for the lowest one): 138 meV/atom
* energy of formation: -109.1 meV per atom
* VASP energy: -3.1659 eV/atom
* volume: 116 Å³ per cell
* SG: No. 225

Lattice parameters (Å, degrees): 5.474 5.474 5.474 60.00 60.00 60.00
Atoms (fractional coordinates):
1 Ag 0.250 0.250 0.250
2 Dy 0.000 0.000 0.000
3 Ag 0.750 0.750 0.750
4 Ba 0.500 0.500 0.500